Record 1
Entry from Alexandria via LeMat-Bulk: an optimized crystal structure of MgFeAs (PBE-GGA).

Summary:
Space-group type   I4mm (107)
E_form   -0.114 eV/atom
Spin magnetization   1.0 μB/f.u.
DOS(E_F)   0.163 states/eV per atom
VASP energy   -5.02 eV/atom
Crystal system   tetragonal

Lattice parameters (Å, degrees): 3.1278 3.1278 9.3099 90.00 90.00 90.00
Atoms (fractional coordinates):
Mg: 0.0000 0.0000 0.0000
Mg: 0.5000 0.5000 0.5000
Fe: 0.0000 0.0000 0.6920
Fe: 0.5000 0.5000 0.1920
As: 0.0000 0.0000 0.2986
As: 0.5000 0.5000 0.7986



Record 2
Entry from Alexandria via LeMat-Bulk: an optimized crystal structure of SrCa7Mg5 (PBE-GGA).

Summary:
Space-group type   Imm2 (44)
E_form   -0.028 eV/atom
Spin magnetization   0.0 μB/f.u.
DOS(E_F)   1.061 states/eV per atom
VASP energy   -1.85 eV/atom
Crystal system   orthorhombic

Lattice parameters (Å, degrees): 8.9126 8.9126 8.9126 135.84 99.15 97.09
Atoms (fractional coordinates):
Sr: 0.0000 0.0000 0.0000
Ca: 0.2007 0.5034 0.6974
Ca: 0.2376 0.7376 0.5000
Ca: 0.3518 0.3518 0.0000
Ca: 0.3614 0.0169 0.3445
Ca: 0.6628 0.6628 0.0000
Ca: 0.6724 0.0169 0.6555
Ca: 0.8060 0.5034 0.3026
Mg: 0.0034 0.0093 0.4923
Mg: 0.0034 0.5110 0.9941
Mg: 0.5169 0.0093 0.0059
Mg: 0.5169 0.5110 0.5077
Mg: 0.7809 0.2809 0.5000



Record 3
Entry from Alexandria via LeMat-Bulk: an optimized crystal structure of BaPaCu2Te4 (PBE-GGA).

Summary:
Space-group type   I222 (23)
Spin magnetization   1.0 μB/f.u.
DOS(E_F)   0.798 states/eV per atom
VASP energy   -4.60 eV/atom
Crystal system   orthorhombic
Uncorrected formation energy   -0.58 eV per atom

Lattice parameters (Å, degrees): 7.2304 8.2662 8.9030 90.00 90.00 90.00
Atoms (fractional coordinates):
Ba: 0.0000 0.0000 0.0000
Ba: 0.5000 0.5000 0.5000
Pa: 0.0000 0.0000 0.5000
Pa: 0.5000 0.5000 0.0000
Cu: 0.0000 0.5000 0.1393
Cu: 0.0000 0.5000 0.8607
Cu: 0.5000 0.0000 0.3607
Cu: 0.5000 0.0000 0.6393
Te: 0.2483 0.1995 0.3018
Te: 0.2483 0.8005 0.6982
Te: 0.2517 0.3005 0.8018
Te: 0.2517 0.6995 0.1982
Te: 0.7483 0.3005 0.1982
Te: 0.7483 0.6995 0.8018
Te: 0.7517 0.1995 0.6982
Te: 0.7517 0.8005 0.3018



Record 4
Entry from Alexandria via LeMat-Bulk: an optimized crystal structure of TlFe4Te (PBE-GGA).

Summary:
Space-group type   F-43m (216)
Spin magnetization   10.9 μB/f.u.
DOS(E_F)   0.729 states/eV per atom
VASP energy   -6.15 eV/atom
Crystal system   cubic
Uncorrected formation energy   0.41 eV per atom

Lattice parameters (Å, degrees): 5.1640 5.1640 5.1640 60.00 60.00 60.00
Atoms (fractional coordinates):
Tl: 0.0000 0.0000 0.0000
Fe: 0.1211 0.6263 0.6263
Fe: 0.6263 0.1211 0.6263
Fe: 0.6263 0.6263 0.1211
Fe: 0.6263 0.6263 0.6263
Te: 0.2500 0.2500 0.2500



Record 5
Entry from Alexandria via LeMat-Bulk: an optimized crystal structure of Tb2Pr4HoEr (PBE-GGA).

Summary:
Space-group type   Pmmm (47)
E_form   0.016 eV/atom
Spin magnetization   0.0 μB/f.u.
DOS(E_F)   1.300 states/eV per atom
VASP energy   -4.67 eV/atom
Crystal system   orthorhombic

Lattice parameters (Å, degrees): 5.1536 5.1826 10.0832 90.00 90.00 90.00
Atoms (fractional coordinates):
Tb: 0.0000 0.0000 0.0000
Tb: 0.5000 0.5000 0.5000
Pr: 0.0000 0.5000 0.2495
Pr: 0.0000 0.5000 0.7505
Pr: 0.5000 0.0000 0.2499
Pr: 0.5000 0.0000 0.7501
Ho: 0.0000 0.0000 0.5000
Er: 0.5000 0.5000 0.0000



Record 6
Entry from Alexandria via LeMat-Bulk: an optimized crystal structure of BeReSe2Br (PBE-GGA).

Summary:
Space-group type   P4/mmm (123)
Spin magnetization   0.0 μB/f.u.
DOS(E_F)   1.144 states/eV per atom
VASP energy   -4.12 eV/atom
Crystal system   tetragonal
Uncorrected formation energy   0.85 eV per atom

Lattice parameters (Å, degrees): 4.7971 4.7971 5.4114 90.00 90.00 90.00
Atoms (fractional coordinates):
Be: 0.0000 0.0000 0.0000
Re: 0.5000 0.5000 0.5000
Se: 0.0000 0.5000 0.5000
Se: 0.5000 0.0000 0.5000
Br: 0.5000 0.5000 0.0000